# RbTa2FeRu, optimized geometry, DFT GGA-PBE
# total energy	-6.6022	eV per atom
# M_tot	0.498	μB per formula unit
data_RbTa2FeRu
_space_group_name_H-M_alt 'P 4/m m m'
_space_group_IT_number 123
_space_group_name_Hall '-P 4 2'
_cell_length_a 4.6397
_cell_length_b 4.6397
_cell_length_c 4.8805
_cell_angle_alpha 90.00
_cell_angle_beta 90.00
_cell_angle_gamma 90.00
loop_
_atom_site_label
_atom_site_type_symbol
_atom_site_fract_x
_atom_site_fract_y
_atom_site_fract_z
Rb1 Rb 0.0000 0.0000 0.0000
Ta1 Ta 0.0000 0.5000 0.5000
Fe1 Fe 0.0000 0.0000 0.5000
Ru1 Ru 0.5000 0.5000 0.0000